Density functional theory data (GGA-PBE) for TlTc2Bi after structural relaxation.

It has space group Fm-3m (No. 225), with a = 6.7166 Å, b = 6.7166 Å, c = 6.7166 Å, α = 90.00°, β = 90.00° and γ = 90.00°. The inequivalent atoms are Tl at (0.0000, 0.0000, 0.0000), Tc at (0.2500, 0.2500, 0.2500) and Bi at (0.0000, 0.0000, 0.5000).

---

Density functional theory data (GGA-PBE) for TlTcBi3 after structural relaxation.

It has space group Pm-3m (No. 221), with a = 5.3938 Å, b = 5.3938 Å, c = 5.3938 Å, α = 90.00°, β = 90.00° and γ = 90.00°. The inequivalent atoms are Tl at (0.0000, 0.0000, 0.0000), Tc at (0.5000, 0.5000, 0.5000) and Bi at (0.0000, 0.5000, 0.5000).

---

| no. | electronic total energy (eV/atom) | distance to the lowest polymorph of the same formula (meV/atom) |
| --- | --- | --- |
| 1 | -5.980 | 0.0 |
| 2 | -4.427 | 0.0 |